Compound: Na2Hf2Te6Au
Source: Alexandria
Functional: PBE
Structure: relaxed

It has space group C2/m (No. 12), with a = 7.0493 Å, b = 12.9008 Å, c = 8.0359 Å, α = 90.00°, β = 107.27° and γ = 90.00°. Symmetry generates all atoms from Na at (0.0000, 0.1539, 0.0000), Hf at (0.0000, 0.3259, 0.5000), Te at (0.2414, 0.5000, 0.6990), Te at (0.2451, 0.3253, 0.2738) and Au at (0.0000, 0.0000, 0.5000).

The calculation puts the final energy at -51.72 eV per formula unit. The total magnetic moment is 0.0 Bohr magnetons per cell. Its density of states at the Fermi level is 0.6223 states/eV/atom. The calculated density is 6.5 g/cm3.